The following is a DFT calculation (GGA+U) of an optimized crystal structure of TlMo2PdO.

The structure belongs to space group P4/mmm (No. 123); the cell edges are 5.649, 5.649 and 5.011 Å and the angles 90.00°, 90.00° and 90.00°. The distinct sites, in fractional coordinates, are Tl at (0.000, 0.000, 0.000), Mo at (0.000, 0.500, 0.000), Pd at (0.000, 0.000, 0.500) and O at (0.500, 0.500, 0.500).

The total DFT energy (no corrections) is -3.468 eV per atom.